Entry A
An optimized crystal structure of Li2HgAu2. Source: Alexandria, functional PBE.

Unit cell a=4.0694 b=4.0694 c=6.6910 alpha=72.30 beta=72.30 gamma=90.00
With the nearest neighbours (Å) after each atom.
Fractional positions:
Au 0.3858 0.3858 0.2285  4 Li 2.61, 1 Au 2.76
Au 0.6142 0.6142 0.7715  4 Li 2.61, 1 Au 2.76
Hg 0.0000 0.0000 0.0000  8 Au 3.19
Li 0.7500 0.2500 0.5000  4 Au 2.61, 4 Li 2.88
Li 0.2500 0.7500 0.5000  4 Au 2.61, 4 Li 2.88

***

Entry B
An optimized crystal structure of Li2HgAu2. Source: Alexandria, functional PBE.

Unit cell a=4.9644 b=9.1471 c=12.3233 alpha=19.21 beta=78.38 gamma=74.25
With the nearest neighbours (Å) after each atom.
Fractional positions:
Li 0.4278 0.7872 0.9812  5 Au 2.70-2.81, 3 Hg 2.87-2.97
Li 0.8038 0.2872 0.4812  5 Au 2.70-2.81, 3 Hg 2.87-2.97
Li 0.5722 0.2128 0.0188  5 Au 2.70-2.81, 3 Hg 2.87-2.97
Li 0.1962 0.7128 0.5188  5 Au 2.70-2.81, 3 Hg 2.87-2.97
Hg 0.2237 0.7500 0.2500  8 Li 2.87-3.16, 2 Au 2.92
Hg 0.7763 0.2500 0.7500  8 Li 2.87-3.16, 2 Au 2.92
Au 0.3722 0.9633 0.6430  5 Li 2.70-2.81, 1 Hg 2.92, 6 Au 2.94-2.95
Au 0.9786 0.5367 0.8570  5 Li 2.70-2.81, 1 Hg 2.92, 6 Au 2.94-2.95
Au 0.6278 0.0367 0.3570  5 Li 2.70-2.81, 1 Hg 2.92, 6 Au 2.94-2.95
Au 0.0214 0.4633 0.1430  5 Li 2.70-2.81, 1 Hg 2.92, 6 Au 2.94-2.95

***

Entry C
An optimized crystal structure of Li2HgAu2. Source: Alexandria, functional PBE.

Unit cell a=5.5920 b=5.5920 c=7.5730 alpha=71.88 beta=71.88 gamma=50.85
With the nearest neighbours (Å) after each atom.
Fractional positions:
Li 0.6947 0.0931 0.4578  5 Au 2.74-2.98, 1 Li 2.80, 3 Hg 2.81-2.88
Li 0.9069 0.3053 0.0422  5 Au 2.74-2.98, 1 Li 2.80, 3 Hg 2.81-2.88
Li 0.3053 0.9069 0.5422  5 Au 2.74-2.98, 1 Li 2.80, 3 Hg 2.81-2.88
Li 0.0931 0.6947 0.9578  5 Au 2.74-2.98, 1 Li 2.80, 3 Hg 2.81-2.88
Hg 0.2988 0.7012 0.2500  6 Li 2.81-2.88, 6 Au 2.97-3.01
Hg 0.7012 0.2988 0.7500  6 Li 2.81-2.88, 6 Au 2.97-3.01
Au 0.5197 0.1035 0.1496  5 Li 2.74-2.98, 3 Au 2.88-2.96, 3 Hg 2.97-3.01
Au 0.8965 0.4803 0.3504  5 Li 2.74-2.98, 3 Au 2.88-2.96, 3 Hg 2.97-3.01
Au 0.4803 0.8965 0.8504  5 Li 2.74-2.98, 3 Au 2.88-2.96, 3 Hg 2.97-3.01
Au 0.1035 0.5197 0.6496  5 Li 2.74-2.98, 3 Au 2.88-2.96, 3 Hg 2.97-3.01

***

The structure with the least stability is entry A.

***

Entry A
An optimized crystal structure of Li6HgAu3. Source: Alexandria, functional PBE.

Unit cell a=7.3647 b=5.2923 c=5.2923 alpha=64.28 beta=72.88 gamma=72.88
With the nearest neighbours (Å) after each atom.
Fractional positions:
Li 0.3177 0.0795 0.6157  3 Au 2.56-2.74, 2 Li 2.61-2.65, 1 Hg 2.69
Li 0.6823 0.3843 0.9205  3 Au 2.56-2.74, 2 Li 2.61-2.65, 1 Hg 2.69
Li 0.6823 0.9205 0.3843  3 Au 2.56-2.74, 2 Li 2.61-2.65, 1 Hg 2.69
Li 0.3177 0.6157 0.0795  3 Au 2.56-2.74, 2 Li 2.61-2.65, 1 Hg 2.69
Li 0.0650 0.6624 0.6624  2 Au 2.75-2.89, 1 Hg 3.02
Li 0.9350 0.3376 0.3376  2 Au 2.75-2.89, 1 Hg 3.02
Hg 0.5000 0.5000 0.5000  4 Li 2.69
Au 0.3056 0.1202 0.1202  5 Li 2.56-2.75, 1 Au 2.81
Au 0.6944 0.8798 0.8798  5 Li 2.56-2.75, 1 Au 2.81
Au 0.0000 0.0000 0.0000  6 Li 2.61-2.89, 2 Au 2.81

***

Entry B
An optimized crystal structure of Li6HgAu3. Source: Alexandria, functional PBE.

Unit cell a=4.6285 b=7.5790 c=9.9310 alpha=110.95 beta=90.00 gamma=90.00
With the nearest neighbours (Å) after each atom.
Fractional positions:
Li 0.2500 0.4659 0.0768  7 Au 2.69-2.88, 5 Li 2.79-2.92
Li 0.7500 0.5341 0.9232  7 Au 2.69-2.88, 5 Li 2.79-2.92
Li 0.2500 0.1586 0.1767  8 Li 2.72-2.97, 4 Au 2.84-2.92
Li 0.7500 0.8414 0.8233  8 Li 2.72-2.97, 4 Au 2.84-2.92
Li 0.2500 0.6469 0.6755  5 Au 2.67-2.84, 3 Li 2.74-2.85, 1 Hg 2.75
Li 0.7500 0.3531 0.3245  5 Au 2.67-2.84, 3 Li 2.74-2.85, 1 Hg 2.75
Li 0.2500 0.2756 0.4954  4 Au 2.71-2.78, 2 Li 2.74-2.97, 3 Hg 2.84-2.91
Li 0.7500 0.7244 0.5046  4 Au 2.71-2.78, 2 Li 2.74-2.97, 3 Hg 2.84-2.91
Li 0.2500 0.8359 0.2746  4 Au 2.73-2.82, 4 Li 2.79-3.03, 3 Hg 2.85-2.95
Li 0.7500 0.1641 0.7254  4 Au 2.73-2.82, 4 Li 2.79-3.03, 3 Hg 2.85-2.95
Li 0.2500 0.0736 0.8868  6 Li 2.72-3.03, 4 Au 2.72-2.75, 1 Hg 2.74
Li 0.7500 0.9264 0.1132  6 Li 2.72-3.03, 4 Au 2.72-2.75, 1 Hg 2.74
Hg 0.2500 0.9555 0.5920  8 Li 2.74-2.95, 1 Au 3.05
Hg 0.7500 0.0445 0.4080  8 Li 2.74-2.95, 1 Au 3.05
Au 0.2500 0.5404 0.3703  9 Li 2.67-2.84
Au 0.7500 0.4596 0.6297  9 Li 2.67-2.84
Au 0.2500 0.3695 0.7888  8 Li 2.69-2.75, 1 Au 2.97
Au 0.7500 0.6305 0.2112  8 Li 2.69-2.75, 1 Au 2.97
Au 0.2500 0.7747 0.9777  11 Li 2.72-2.92, 1 Au 2.97
Au 0.7500 0.2253 0.0223  11 Li 2.72-2.92, 1 Au 2.97

***

The structure with the least stability is entry A.

***

Entry A
An optimized crystal structure of Li3HgAu4. Source: Alexandria, functional PBE.

Unit cell a=4.7642 b=2.9048 c=10.3735 alpha=81.88 beta=103.28 gamma=90.00
With the nearest neighbours (Å) after each atom.
Fractional positions:
Li 0.0000 0.5000 0.0000  4 Au 2.66-2.67, 4 Hg 2.79, 2 Li 2.90
Li 0.2275 0.2725 0.4550  6 Au 2.70-2.75, 6 Li 2.90-2.93
Li 0.7725 0.7275 0.5450  6 Au 2.70-2.75, 6 Li 2.90-2.93
Hg 0.5000 0.0000 0.0000  4 Li 2.79, 2 Hg 2.90
Au 0.6588 0.3425 0.3176  4 Li 2.70-2.75, 6 Au 2.90-2.95
Au 0.3412 0.6575 0.6824  4 Li 2.70-2.75, 6 Au 2.90-2.95
Au 0.8882 0.1114 0.7765  4 Li 2.66-2.73, 6 Au 2.90-2.95
Au 0.1118 0.8886 0.2235  4 Li 2.66-2.73, 6 Au 2.90-2.95

***

Entry B
An optimized crystal structure of Li3HgAu4. Source: Alexandria, functional PBE.

Unit cell a=4.7874 b=6.1129 c=9.3086 alpha=90.00 beta=90.00 gamma=90.00
With the nearest neighbours (Å) after each atom.
Fractional positions:
Au 0.5000 0.7667 0.0000  6 Li 2.78-2.89, 3 Au 2.85-2.95, 2 Hg 2.90
Au 0.5000 0.7667 0.5000  6 Li 2.78-2.89, 3 Au 2.85-2.95, 2 Hg 2.90
Au 0.5000 0.2333 0.0000  6 Li 2.78-2.89, 3 Au 2.85-2.95, 2 Hg 2.90
Au 0.5000 0.2333 0.5000  6 Li 2.78-2.89, 3 Au 2.85-2.95, 2 Hg 2.90
Au 0.1224 0.7652 0.7500  6 Li 2.76-2.95, 3 Au 2.87-2.95, 2 Hg 2.90
Au 0.8776 0.7652 0.2500  6 Li 2.76-2.95, 3 Au 2.87-2.95, 2 Hg 2.90
Au 0.8776 0.2348 0.2500  6 Li 2.76-2.95, 3 Au 2.87-2.95, 2 Hg 2.90
Au 0.1224 0.2348 0.7500  6 Li 2.76-2.95, 3 Au 2.87-2.95, 2 Hg 2.90
Hg 0.0000 0.5000 0.0000  8 Au 2.90, 4 Li 2.99-3.06
Hg 0.0000 0.5000 0.5000  8 Au 2.90, 4 Li 2.99-3.06
Li 0.0000 0.0000 0.0000  8 Au 2.79-2.80, 2 Li 2.97, 2 Hg 3.06
Li 0.0000 0.0000 0.5000  8 Au 2.79-2.80, 2 Li 2.97, 2 Hg 3.06
Li 0.6141 0.0000 0.7500  8 Au 2.76-2.83, 4 Li 2.97-3.06
Li 0.3859 0.0000 0.2500  8 Au 2.76-2.83, 4 Li 2.97-3.06
Li 0.6085 0.5000 0.7500  8 Au 2.84-2.95, 2 Hg 2.99, 2 Li 3.06
Li 0.3915 0.5000 0.2500  8 Au 2.84-2.95, 2 Hg 2.99, 2 Li 3.06

***

The structure with the least stability is entry A.

***

Entry A
An optimized crystal structure of Li4HgAu. Source: Alexandria, functional PBE.

Unit cell a=5.0934 b=5.0934 c=5.0934 alpha=60.00 beta=60.00 gamma=60.00
With the nearest neighbours (Å) after each atom.
Fractional positions:
Li 0.8732 0.3756 0.3756  6 Li 2.53-2.56
Li 0.3756 0.3756 0.8732  6 Li 2.53-2.56
Li 0.3756 0.8732 0.3756  6 Li 2.53-2.56
Li 0.3756 0.3756 0.3756  6 Li 2.53-2.56
Hg 0.0000 0.0000 0.0000  12 Li 2.99, 4 Au 3.12
Au 0.7500 0.7500 0.7500  12 Li 2.98, 4 Hg 3.12

***

Entry B
An optimized crystal structure of Li4HgAu. Source: Alexandria, functional PBE.

Unit cell a=2.9771 b=4.4480 c=7.5833 alpha=90.00 beta=89.94 gamma=90.00
With the nearest neighbours (Å) after each atom.
Fractional positions:
Li 0.6696 0.9972 0.1618  5 Li 2.68-2.98, 2 Au 2.82, 4 Hg 2.88
Li 0.6672 0.9975 0.8007  7 Li 2.74-2.98, 2 Au 2.87
Li 0.1658 0.4972 0.6689  2 Au 2.66, 1 Hg 2.68, 6 Li 2.78-2.86
Li 0.6685 0.4972 0.3585  6 Li 2.68-2.98, 4 Au 2.82, 2 Hg 2.95-2.96
Hg 0.1687 0.4974 0.0219  7 Li 2.68-2.96, 2 Hg 2.98
Au 0.1680 0.9972 0.4771  10 Li 2.66-2.87

***

The structure with the least stability is entry A.

***

Entry A
An optimized crystal structure of Li2Hg3Au. Source: Alexandria, functional PBE.

Unit cell a=4.3740 b=5.9771 c=8.9497 alpha=90.00 beta=90.00 gamma=90.00
With the nearest neighbours (Å) after each atom.
Fractional positions:
Li 0.5000 0.6612 0.8354  8 Hg 2.83-3.15, 1 Au 2.90
Li 0.5000 0.1612 0.1646  8 Hg 2.83-3.15, 1 Au 2.90
Li 0.0000 0.3399 0.6412  6 Hg 2.77-3.10, 4 Au 2.82-3.05
Li 0.0000 0.8399 0.3588  6 Hg 2.77-3.10, 4 Au 2.82-3.05
Hg 0.0000 0.4258 0.9829  5 Li 2.92-3.15, 7 Hg 3.00-3.22
Hg 0.0000 0.9258 0.0171  5 Li 2.92-3.15, 7 Hg 3.00-3.22
Hg 0.5000 0.6719 0.1900  5 Li 2.84-3.17, 1 Au 2.98, 2 Hg 3.08
Hg 0.5000 0.1719 0.8100  5 Li 2.84-3.17, 1 Au 2.98, 2 Hg 3.08
Hg 0.0000 0.3271 0.3317  5 Li 2.77-3.07, 2 Au 2.98
Hg 0.0000 0.8271 0.6683  5 Li 2.77-3.07, 2 Au 2.98
Au 0.5000 0.5740 0.5171  5 Li 2.82-3.05, 5 Hg 2.98-3.12, 2 Au 3.00
Au 0.5000 0.0740 0.4829  5 Li 2.82-3.05, 5 Hg 2.98-3.12, 2 Au 3.00

***

Entry B
An optimized crystal structure of Li2Hg3Au. Source: Alexandria, functional PBE.

Unit cell a=3.1435 b=3.3346 c=11.6447 alpha=90.00 beta=90.00 gamma=90.00
With the nearest neighbours (Å) after each atom.
Fractional positions:
Li 0.0000 0.5000 0.0074  8 Hg 2.90-2.91, 2 Li 3.14
Li 0.0000 0.0000 0.4805  4 Au 2.65, 4 Hg 2.90
Hg 0.5000 0.0000 0.8532  4 Li 2.91, 4 Hg 3.06-3.14
Hg 0.5000 0.0000 0.1604  4 Li 2.90, 2 Au 2.91, 2 Hg 3.14
Hg 0.5000 0.5000 0.6329  4 Li 2.90, 4 Hg 3.06-3.14, 1 Au 3.11
Au 0.5000 0.5000 0.3656  4 Li 2.65, 2 Hg 2.91

***

The structure with the least stability is entry B.

***

Entry A
An optimized crystal structure of Li4HgAu2. Source: Alexandria, functional PBE.

Unit cell a=5.0544 b=5.0669 c=5.8741 alpha=115.55 beta=90.00 gamma=90.00
With the nearest neighbours (Å) after each atom.
Fractional positions:
Li 0.5000 0.6329 0.2658  3 Au 2.53, 1 Li 2.82
Li 0.0000 0.8345 0.6689  2 Au 2.56
Li 0.5000 0.3671 0.7342  3 Au 2.53, 1 Li 2.82
Li 0.0000 0.1655 0.3311  2 Au 2.56
Hg 0.0000 0.5000 0.0000  8 Li 2.89-3.08
Au 0.5000 0.1282 0.2564  5 Li 2.53-2.56, 1 Au 2.72
Au 0.5000 0.8718 0.7436  5 Li 2.53-2.56, 1 Au 2.72

***

Entry B
An optimized crystal structure of Li4HgAu2. Source: Alexandria, functional PBE.

Unit cell a=4.5523 b=4.5523 c=7.4905 alpha=72.31 beta=72.31 gamma=60.00
With the nearest neighbours (Å) after each atom.
Fractional positions:
Li 0.8667 0.8667 0.3999  4 Au 2.61-2.89, 1 Hg 2.81
Li 0.1333 0.1333 0.6001  4 Au 2.61-2.89, 1 Hg 2.81
Li 0.6042 0.6042 0.1873  4 Au 2.64-2.91, 3 Hg 2.94
Li 0.3958 0.3958 0.8127  4 Au 2.64-2.91, 3 Hg 2.94
Hg 0.0000 0.0000 0.0000  8 Li 2.81-2.94, 6 Au 3.08
Au 0.7427 0.7427 0.7720  8 Li 2.61-2.91
Au 0.2573 0.2573 0.2280  8 Li 2.61-2.91

***

The structure with the least stability is entry A.